Record 1
! ZrUCrC3 | Alexandria via LeMat-Bulk | PBE | optimized geometry; values from VASP
&SYSTEM
  ibrav = 0, nat = 12, ntyp = 4
/
ATOMIC_SPECIES
Zr 91.22 Zr.upf
U 238.03 U.upf
C 12.01 C.upf
Cr 52.00 Cr.upf
ATOMIC_POSITIONS angstrom
Zr 0.8253 4.1724 1.6421
U 2.4758 4.2794 6.3999
C 0.8253 4.8022 4.1673
C 0.8253 -0.8286 6.1740
Cr 2.4758 5.5496 3.5323
C 2.4758 5.9202 1.6658
C 2.4758 0.2894 3.6724
U 0.8253 0.8122 1.4398
Zr 2.4758 0.9192 6.1977
C 2.4758 2.4614 1.4219
C 0.8253 2.6302 6.4178
Cr 0.8253 -0.4580 4.3075
CELL_PARAMETERS angstrom
3.3010 0.0000 0.0000
0.0000 6.9914 0.7819
0.0000 -1.8998 7.0579
! SG: P2_1/m, No. 11
! DFT formation energy in eV/atom: -0.10
! Crystal system: monoclinic

---

Record 2
! Th6Te3Os2C | Alexandria via LeMat-Bulk | PBE | optimized geometry; values from VASP
&SYSTEM
  ibrav = 0, nat = 12, ntyp = 4
/
ATOMIC_SPECIES
C 12.01 C.upf
Th 232.04 Th.upf
Os 190.23 Os.upf
Te 127.60 Te.upf
ATOMIC_POSITIONS angstrom
C 0.0000 0.0000 0.0000
Th 0.0923 4.1337 6.1410
Th 2.4263 4.2011 1.5143
Th 2.2989 0.0066 1.4760
Th 3.5344 2.1458 6.1410
Th -0.0351 -0.0608 6.1027
Os 0.0088 4.1270 0.0058
Os 3.5703 2.0701 0.0058
Th -1.1432 1.9945 1.4760
Te 1.1956 2.0701 3.8085
Te -2.3287 4.1055 3.8085
Te 4.7199 0.0348 3.8085
CELL_PARAMETERS angstrom
7.1421 0.0072 0.0058
-3.5630 6.1899 0.0058
-1.1879 -2.0568 7.6053
! Uncorrected formation energy in meV per atom: -784
! SG: C2/m, No. 12
! Crystal system: monoclinic

---

Record 3
! PuNiAu | Alexandria via LeMat-Bulk | PBE | optimized geometry; values from VASP
&SYSTEM
  ibrav = 0, nat = 3, ntyp = 3
/
ATOMIC_SPECIES
Ni 58.69 Ni.upf
Pu 244.00 Pu.upf
Au 196.97 Au.upf
ATOMIC_POSITIONS angstrom
Ni -0.2685 0.5212 0.0786
Pu -2.6688 1.0160 2.0078
Au 0.3499 0.4680 2.5622
CELL_PARAMETERS angstrom
-1.6153 3.1354 0.4726
-3.8025 -2.0949 0.9019
2.8304 0.9647 3.2740
! SG: P-6m2, No. 187
! DFT formation energy in eV/atom: -0.22
! Crystal system: hexagonal

---

Record 4
! CsReTcO6 | Alexandria via LeMat-Bulk | PBE | optimized geometry; values from VASP
&SYSTEM
  ibrav = 0, nat = 9, ntyp = 4
/
ATOMIC_SPECIES
O 16.00 O.upf
Cs 132.91 Cs.upf
Tc 98.00 Tc.upf
Re 186.21 Re.upf
ATOMIC_POSITIONS angstrom
O -2.7208 -4.9818 4.1247
O -4.7887 -5.6662 2.4266
O -2.5998 -4.2915 1.4533
O -2.7123 -7.3507 3.7090
Cs -3.5711 -10.3023 3.3380
O -1.0389 -6.0574 1.9328
Tc -0.6880 -4.3930 0.8877
Re -2.8828 -5.9091 2.4502
O -3.4376 -7.1077 1.0551
CELL_PARAMETERS angstrom
-1.8515 -2.0463 4.5888
-4.7331 -2.5020 0.0987
3.0136 -5.7542 -1.3494
! Uncorrected formation energy in meV per atom: -1537
! SG: P312, No. 149
! Crystal system: trigonal

---

Record 5
! PmPd3 | Alexandria via LeMat-Bulk | PBE | optimized geometry; values from VASP
&SYSTEM
  ibrav = 0, nat = 4, ntyp = 2
/
ATOMIC_SPECIES
Pd 106.42 Pd.upf
Pm 145.00 Pm.upf
ATOMIC_POSITIONS angstrom
Pd 2.1149 0.0000 2.0818
Pd 0.0000 2.1149 2.0818
Pd 2.1149 2.1149 0.0000
Pm 0.0000 0.0000 0.0000
CELL_PARAMETERS angstrom
4.2297 0.0000 0.0000
0.0000 4.2297 0.0000
-2.1149 -2.1149 4.1636
! SG: I4/mmm, No. 139
! DFT formation energy in eV/atom: -0.70
! Crystal system: tetragonal

---

Record 6
! PmNdI3 | Alexandria via LeMat-Bulk | PBE | optimized geometry; values from VASP
&SYSTEM
  ibrav = 0, nat = 10, ntyp = 3
/
ATOMIC_SPECIES
I 126.90 I.upf
Nd 144.24 Nd.upf
Pm 145.00 Pm.upf
ATOMIC_POSITIONS angstrom
I -7.4258 -0.7929 2.8207
Nd -9.4975 1.3504 4.0169
I -7.4015 7.3280 2.9919
I -3.9770 -5.7832 1.2812
Pm -5.3395 5.1974 1.8003
I -4.3863 -1.8187 0.3924
I -6.9923 3.3635 3.8806
Pm -6.0391 -3.6525 2.4727
I -3.9528 2.3377 1.4524
Nd -1.8811 0.1944 0.2561
CELL_PARAMETERS angstrom
-2.6149 -0.9169 -2.8858
-1.6743 -7.4248 3.8762
-7.0893 9.8865 3.2827
! Uncorrected formation energy in meV per atom: -1069
! SG: P2_1/m, No. 11
! Crystal system: monoclinic

---

M_tot list, top to bottom, in μB/atom: 0.001; 0.000; 1.760; 0.252; 0.000; 0.000
Energy list, top to bottom, in eV per formula unit: -57.74; -95.04; -24.05; -67.25; -23.12; -19.52